Below is a geometry-optimized Tl5Hg8Pb structure, with properties calculated at the PBE level.

Geometry as CIF:
```
data_Tl5Hg8Pb
_chemical_formula_sum 'Tl10 Hg16 Pb2'
_space_group_name_H-M_alt 'I -4'
_space_group_IT_number 82
_space_group_name_Hall 'I -4'
_cell_length_a 9.412
_cell_length_b 9.412
_cell_length_c 9.415
_cell_angle_alpha 90.00
_cell_angle_beta 90.00
_cell_angle_gamma 90.00
loop_
_atom_site_label
_atom_site_fract_x
_atom_site_fract_y
_atom_site_fract_z
_atom_site_occupancy
Tl1 0.000 0.000 0.000 1
Tl2 0.120 0.257 0.369 1
Hg1 0.076 0.171 0.699 1
Hg2 0.081 0.325 0.038 1
Pb1 0.000 0.500 0.750 1
```

## Properties
calculated total energy = -35.52 eV/cell
magnetic moment = 0.00 Bohr magnetons per cell
calculated density = 11.285 g/cm3
calculated formation energy = 0.014 eV/atom